(1)
# Mn4S3F

A relaxed structure of Mn4S3F (GGA+U, Alexandria).

Cell lengths 7.9350, 6.6946, 6.3792 Å; angles 90.00, 90.00, 90.00 degrees
Positions (direct):
Mn  0.0000  0.1079  0.0000
Mn  0.0000  0.8187  0.4285
Mn  0.2198  0.6831  0.9948
Mn  0.2802  0.3169  0.4948
Mn  0.5000  0.1813  0.9285
Mn  0.5000  0.8921  0.5000
Mn  0.7198  0.3169  0.4948
Mn  0.7802  0.6831  0.9948
S  0.0000  0.1781  0.3782
S  0.2280  0.3315  0.8751
S  0.2720  0.6685  0.3751
S  0.5000  0.8219  0.8782
S  0.7280  0.6685  0.3751
S  0.7720  0.3315  0.8751
F  0.0000  0.8264  0.8001
F  0.5000  0.1736  0.3001

Output
Its space group is Pmn2_1. As for the total energy: -101.92 eV for the cell shown. The calculation puts the mass density at 3.28 g/cm³. The magnetization comes out at 38.039 μB/cell.


(2)
# MnS6F2

A relaxed structure of MnS6F2 (GGA+U, Alexandria).

Cell lengths 7.2695, 7.2695, 3.5956 Å; angles 90.74, 90.74, 102.05 degrees
Positions (direct):
Mn  0.0000  0.0000  0.0000
S  0.2515  0.5438  0.1135
S  0.2981  0.2981  0.8574
S  0.4562  0.7485  0.8865
S  0.5438  0.2515  0.1135
S  0.7019  0.7019  0.1426
S  0.7485  0.4562  0.8865
F  0.1112  0.8888  0.5000
F  0.8888  0.1112  0.5000

Output
Its space group is C2/m. As for the total energy: -42.04 eV for the cell shown. The calculation puts the mass density at 2.55 g/cm³. The magnetization comes out at 4.994 μB/cell.


(3)
# MnSF2

A relaxed structure of MnSF2 (GGA+U, Alexandria).

Cell lengths 5.6621, 5.6621, 5.6621 Å; angles 101.99, 101.99, 125.78 degrees
Positions (direct):
Mn  0.0000  0.0000  0.0000
Mn  0.7500  0.2500  0.5000
S  0.2500  0.7500  0.5000
S  0.5000  0.5000  0.0000
F  0.3750  0.2284  0.3534
F  0.7716  0.1250  0.1466
F  0.8750  0.0216  0.6466
F  0.9784  0.6250  0.8534

Output
Its space group is I-42d. Its relative energy among the computed polymorphs is 250 meV/atom. The calculation puts the mass density at 3.17 g/cm³. The magnetization comes out at 9.346 μB/cell.